The following is a PBE calculation of a geometry-optimized YAgIr structure, from Alexandria via LeMat-Bulk.

```
YAgIr
1.0
4.6250 0.0000 0.0000
2.3125 4.0053 0.0000
2.3125 1.3351 3.7763
Ag Ir Y
1 1 1
Cartesian
4.6250 2.6702 1.8881
6.9374 4.0053 2.8322
0.0000 0.0000 0.0000
```

Total DFT energy (no corrections), eV/f.u.: -18.6
Offset from the most stable computed form, meV/atom: 122
Crystal system: cubic
Size of the total moment, Bohr magnetons per cell: 0.00



The following is a PBE calculation of a geometry-optimized Tb6Ho3Er2Tm structure, from Alexandria via LeMat-Bulk.

```
Tb6Ho3Er2Tm
1.0
6.1115 0.0017 0.0070
-3.0528 5.2944 0.0070
-1.0276 -1.7792 11.4936
Tb Er Ho Tm
6 2 3 1
Cartesian
-0.0035 3.5192 8.6384
-1.0188 1.7612 2.8692
-0.0068 -0.0118 8.6310
3.0500 1.7558 8.6384
2.0346 -0.0023 2.8692
2.0380 3.5287 2.8766
3.0560 1.7664 0.0070
0.0027 3.5298 0.0070
4.0707 -0.0060 5.7538
-2.0396 3.5229 5.7538
1.0156 1.7585 5.7538
0.0000 0.0000 0.0000
```

Total DFT energy (no corrections), eV/f.u.: -54.9
Crystal system: monoclinic
Size of the total moment, Bohr magnetons per cell: 0.00



The following is a PBE calculation of a geometry-optimized Pm3Si6Pd2Pt structure, from Alexandria via LeMat-Bulk.

```
Pm3Si6Pd2Pt
1.0
-1.4835 3.3751 -4.3816
-0.2193 -5.6936 -0.5697
-7.7898 0.0335 2.6632
Si Pm Pd Pt
6 3 2 1
Cartesian
-6.8018 1.6805 -1.7590
-6.1616 0.2241 0.1316
-2.6908 -3.9655 -0.5290
-2.5962 -1.5087 -0.2832
-6.8964 -0.7763 -2.0049
-3.3309 -2.5091 -2.4196
0.0000 0.0000 0.0000
-4.0542 0.3651 -2.0880
-5.4383 -2.6501 -0.2001
-0.9242 -2.6695 -1.7434
-8.5683 0.3845 -0.5446
-3.8949 0.0168 1.3316
```

Total DFT energy (no corrections), eV/f.u.: -69.4
Crystal system: trigonal
ΔE_f (raw), meV per atom: -517.3
Size of the total moment, Bohr magnetons per cell: 0.00



The following is a PBE calculation of a geometry-optimized VRhN structure, from Alexandria via LeMat-Bulk.

```
VRhN
1.0
2.6905 0.0000 0.0000
0.0000 2.7035 0.0000
0.0000 0.0000 17.5976
Rh N V
4 4 4
Cartesian
0.0000 1.3517 7.9862
0.0000 1.3517 14.8206
1.3453 0.0000 16.7850
1.3453 0.0000 6.0218
0.0000 0.0000 13.0841
0.0000 1.3517 10.7707
1.3453 1.3517 4.2853
1.3453 0.0000 1.9719
1.3453 1.3517 12.3698
1.3453 0.0000 9.9754
0.0000 1.3517 1.1765
0.0000 0.0000 3.5710
```

Total DFT energy (no corrections), eV/f.u.: -26.6
Offset from the most stable computed form, meV/atom: 28
Crystal system: orthorhombic
ΔE_f (raw), meV per atom: -590.2
Size of the total moment, Bohr magnetons per cell: 0.00



The following is a PBE calculation of a geometry-optimized Ca2SnHRh structure, from Alexandria via LeMat-Bulk.

```
Ca2SnHRh
1.0
-0.0232 -1.1002 -5.0182
3.4751 -3.6993 0.7950
-2.7237 -2.4409 0.5477
Ca Rh Sn H
2 1 1 1
Cartesian
1.7376 -1.8497 0.3975
-0.0116 -0.5501 -2.5091
-1.3618 -1.2204 0.2739
0.3641 -3.6202 -1.8377
0.0000 0.0000 0.0000
```

Total DFT energy (no corrections), eV/f.u.: -21.3
Crystal system: tetragonal
Size of the total moment, Bohr magnetons per cell: 0.00



The following is a PBE calculation of a geometry-optimized Na12Cd5In2 structure, from Alexandria via LeMat-Bulk.

```
Na12Cd5In2
1.0
8.6104 0.2781 1.0878
1.1146 7.9224 1.7974
0.6004 -0.9161 8.1264
In Na Cd
2 12 5
Cartesian
0.9736 5.4984 3.5331
0.7414 1.5079 6.3906
7.3211 0.1206 5.2370
6.4640 6.6743 4.9606
2.7585 2.9378 8.8007
3.0043 7.1638 5.7746
3.8614 0.6101 6.0510
4.1298 5.2248 2.7466
6.8337 3.3577 5.2443
9.2244 6.6423 10.0254
7.5669 4.3466 2.2109
1.1010 0.6421 0.9862
3.4917 3.9267 5.7673
6.1956 2.0597 8.2650
6.0115 5.3881 8.0129
4.3052 0.1391 0.5439
1.4293 2.5349 3.6561
4.3139 1.8963 2.9987
8.8961 4.7495 7.3555
```

Total DFT energy (no corrections), eV/f.u.: -26.7
Crystal system: monoclinic
Size of the total moment, Bohr magnetons per cell: 0.00



The following is a PBE calculation of a geometry-optimized Zn2Ge2Cl structure, from Alexandria via LeMat-Bulk.

```
Zn2Ge2Cl
1.0
-0.7180 -3.6144 -0.9699
0.0039 -0.9883 3.6802
-7.1141 -1.0511 1.6981
Zn Ge Cl
2 2 1
Cartesian
-1.6568 -2.0609 1.4211
-6.1714 -3.5929 2.9873
-4.0946 -3.4834 1.0417
-3.7336 -2.1703 3.3667
0.0000 0.0000 0.0000
```

Total DFT energy (no corrections), eV/f.u.: -13.2
Offset from the most stable computed form, meV/atom: 0
Crystal system: tetragonal
ΔE_f (raw), meV per atom: 83.5
Size of the total moment, Bohr magnetons per cell: 0.00



The following is a PBE calculation of a geometry-optimized Ba4IrI structure, from Alexandria via LeMat-Bulk.

```
Ba4IrI
1.0
-5.6726 3.8541 -4.1322
5.0414 -4.6335 -5.8963
-5.2247 -6.7923 5.9212
Ir Ba I
2 8 2
Cartesian
-0.8310 -9.4635 -1.1343
-5.0249 1.8918 -2.9731
-4.9838 -3.8984 -3.3106
3.3879 -4.5212 -4.6611
-2.4461 0.1771 -3.0946
-3.4098 -7.7489 -1.0128
-0.8721 -3.6734 -0.7968
-0.9886 -4.3037 -6.5001
-4.8673 -3.2681 2.3927
-9.2438 -3.0506 0.5537
0.4099 -2.2512 -3.8678
-6.2658 -5.3206 -0.2395
```

Total DFT energy (no corrections), eV/f.u.: -21.2
Offset from the most stable computed form, meV/atom: 0
Crystal system: monoclinic
ΔE_f (raw), meV per atom: -517.0
Size of the total moment, Bohr magnetons per cell: 0.00